1.
Compound: CsZn
Source: the Alexandria database
Functional: PBE
Structure: optimized geometry

excess energy over the best structure of this formula in the dataset: 235 meV/atom

The structure in CIF format:
```
data_CsZn
_space_group_name_H-M_alt 'P 1'
_space_group_IT_number 1
_cell_length_a 7.694
_cell_length_b 7.694
_cell_length_c 7.694
_cell_angle_alpha 90.00
_cell_angle_beta 90.00
_cell_angle_gamma 90.00
loop_
_space_group_symop_operation_xyz
'x,y,z'
loop_
_atom_site_label
_atom_site_type_symbol
_atom_site_fract_x
_atom_site_fract_y
_atom_site_fract_z
_atom_site_occupancy
Cs1 Cs 0.241 0.241 0.000 1
Cs2 Cs 0.259 0.741 0.500 1
Cs3 Cs 0.741 0.259 0.500 1
Cs4 Cs 0.759 0.759 0.000 1
Zn1 Zn 0.240 0.240 0.500 1
Zn2 Zn 0.260 0.740 0.000 1
Zn3 Zn 0.740 0.260 0.000 1
Zn4 Zn 0.760 0.760 0.500 1
```

***

2.
Compound: Cs4Zn
Source: the Alexandria database
Functional: PBE
Structure: optimized geometry

The structure in CIF format:
```
data_Cs4Zn
_space_group_name_H-M_alt 'P 1'
_space_group_IT_number 1
_cell_length_a 7.688
_cell_length_b 7.688
_cell_length_c 7.688
_cell_angle_alpha 90.00
_cell_angle_beta 90.00
_cell_angle_gamma 90.00
loop_
_space_group_symop_operation_xyz
'x,y,z'
loop_
_atom_site_label
_atom_site_type_symbol
_atom_site_fract_x
_atom_site_fract_y
_atom_site_fract_z
_atom_site_occupancy
Cs1 Cs 0.000 0.000 0.000 1
Cs2 Cs 0.000 0.500 0.500 1
Cs3 Cs 0.500 0.000 0.500 1
Cs4 Cs 0.500 0.500 0.000 1
Zn1 Zn 0.500 0.500 0.500 1
```

***

| no. | final energy (eV/atom) |
| --- | --- |
| 1 | -0.776 |
| 2 | -0.855 |